Entry 1:
A plane-wave DFT calculation with PBE-GGA was carried out for a relaxed structure of LiEuSbPb.

Cell lengths 5.378, 5.378, 5.378 Å; angles 60.00, 60.00, 60.00 degrees
Site moments in Bohr magnetons follow the coordinates.
Atoms (fractional coordinates):
Pb 0.250 0.250 0.250  -0.01
Eu 0.500 0.500 0.500  6.78
Li 0.000 0.000 0.000  -0.01
Sb 0.750 0.750 0.750  -0.02

Properties
Spin magnetization ... 6.87 μB/cell
Formation energy (no corrections) ... -0.46 eV per atom

=====

Entry 2:
A plane-wave DFT calculation with PBE-GGA was carried out for a relaxed structure of LiSmEuPb.

Cell lengths 5.487, 5.487, 5.487 Å; angles 60.00, 60.00, 60.00 degrees
Site moments in Bohr magnetons follow the coordinates.
Atoms (fractional coordinates):
Pb 0.500 0.500 0.500  -0.03
Eu 0.750 0.750 0.750  6.91
Sm 0.250 0.250 0.250  0.14
Li 0.000 0.000 0.000  0.02

Properties
Spin magnetization ... 7.54 μB/cell
Final energy ... -21.88 eV per formula unit